A plane-wave DFT calculation with PBE with a Hubbard U was carried out for a relaxed structure of SiNiH12O6F6.

Properties
final energy	-131.30	eV for the cell shown
crystal system	trigonal

Lattice parameters (Å, degrees): 6.365 6.365 6.365 96.57 96.57 96.57
Fractional positions:
Si 0.000 0.000 0.000
Ni 0.500 0.500 0.500
H 0.098 0.440 0.302
H 0.190 0.683 0.298
H 0.298 0.190 0.683
H 0.302 0.098 0.440
H 0.317 0.702 0.810
H 0.440 0.302 0.098
H 0.560 0.698 0.902
H 0.683 0.298 0.190
H 0.698 0.902 0.560
H 0.702 0.810 0.317
H 0.810 0.317 0.702
H 0.902 0.560 0.698
O 0.200 0.560 0.378
O 0.378 0.200 0.560
O 0.440 0.622 0.800
O 0.560 0.378 0.200
O 0.622 0.800 0.440
O 0.800 0.440 0.622
F 0.067 0.795 0.830
F 0.170 0.933 0.205
F 0.205 0.170 0.933
F 0.795 0.830 0.067
F 0.830 0.067 0.795
F 0.933 0.205 0.170